Computed, not measured: a geometry-optimized KTeMo structure at the PBE level of DFT.

Output
The energy above the most stable polymorph in this dataset comes out at 496.3 meV per atom. As for the space-group type: No. 216. Its magnetization is 5.0 μB per formula unit. The energy is -3.79 eV per atom.

Lattice parameters (Å, degrees): 5.3382 5.3382 5.3382 60.00 60.00 60.00
Fractional coordinates of all 3 atoms:
K  0.0000  0.0000  0.0000
Mo  0.2500  0.2500  0.2500
Te  0.7500  0.7500  0.7500

---

Computed, not measured: a geometry-optimized KTe3Mo3 structure at the PBE level of DFT.

Output
As for the space-group type: No. 176. Its magnetization is 0.0 μB per formula unit. The energy is -6.64 eV per atom.

Lattice parameters (Å, degrees): 9.8794 9.8793 4.6220 90.00 90.00 120.00
Fractional coordinates of all 14 atoms:
K  0.3333  0.6666  0.2500
K  0.6667  0.3334  0.7500
Mo  0.1404  0.1672  0.2500
Mo  0.0268  0.8596  0.2500
Mo  0.8328  0.9733  0.2500
Mo  0.1672  0.0267  0.7500
Mo  0.9732  0.1404  0.7500
Mo  0.8596  0.8328  0.7500
Te  0.3558  0.0559  0.2500
Te  0.9441  0.2999  0.2500
Te  0.7001  0.6442  0.2500
Te  0.2999  0.3558  0.7500
Te  0.0559  0.7001  0.7500
Te  0.6442  0.9441  0.7500

---

Computed, not measured: a geometry-optimized KTlMo structure at the PBE level of DFT.

Output
The energy above the most stable polymorph in this dataset comes out at 0.0 meV per atom. As for the space-group type: No. 216. Its magnetization is 3.5 μB per formula unit. The energy is -3.34 eV per atom.

Lattice parameters (Å, degrees): 5.2151 5.2151 5.2151 60.00 60.00 60.00
Fractional coordinates of all 3 atoms:
K  0.2500  0.2500  0.2500
Mo  0.7500  0.7500  0.7500
Tl  0.0000  0.0000  0.0000

---

Computed, not measured: a geometry-optimized KUMo structure at the PBE level of DFT.

Output
The energy above the most stable polymorph in this dataset comes out at 0.0 meV per atom. As for the space-group type: No. 216. Its magnetization is 1.0 μB per formula unit. The energy is -5.76 eV per atom.

Lattice parameters (Å, degrees): 4.8178 4.8178 4.8178 60.00 60.00 60.00
Fractional coordinates of all 3 atoms:
K  0.2500  0.2500  0.2500
Mo  0.0000  0.0000  0.0000
U  0.7500  0.7500  0.7500

---

Computed, not measured: a geometry-optimized KMoW3 structure at the PBE level of DFT.

Output
As for the space-group type: No. 194. Its magnetization is 0.0 μB per formula unit. The energy is -6.35 eV per atom.

Lattice parameters (Å, degrees): 8.5390 8.5390 4.1159 90.00 90.00 120.03
Fractional coordinates of all 10 atoms:
K  0.0000  0.0000  0.0000
K  0.0000  0.0000  0.5000
Mo  0.6667  0.3333  0.2500
Mo  0.3333  0.6667  0.7500
W  0.8275  0.1725  0.2500
W  0.3450  0.1725  0.2500
W  0.8275  0.6550  0.2500
W  0.1725  0.3450  0.7500
W  0.6550  0.8275  0.7500
W  0.1725  0.8275  0.7500

---

Computed, not measured: a geometry-optimized KYMo structure at the PBE level of DFT.

Output
The energy above the most stable polymorph in this dataset comes out at 0.0 meV per atom. As for the space-group type: No. 216. Its magnetization is 3.4 μB per formula unit. The energy is -4.46 eV per atom.

Lattice parameters (Å, degrees): 5.2955 5.2955 5.2955 60.00 60.00 60.00
Fractional coordinates of all 3 atoms:
K  0.2500  0.2500  0.2500
Mo  0.0000  0.0000  0.0000
Y  0.7500  0.7500  0.7500

---

Computed, not measured: a geometry-optimized K2Na3Ni3N3 structure at the PBE level of DFT.

Output
As for the space-group type: No. 189. Its magnetization is 0.0 μB per formula unit. The energy is -4.44 eV per atom.

Lattice parameters (Å, degrees): 8.5097 8.5097 3.4631 90.00 90.00 120.00
Fractional coordinates of all 11 atoms:
K  0.6667  0.3333  0.5000
K  0.3333  0.6667  0.5000
N  0.6745  0.0000  0.5000
N  0.3255  0.3255  0.5000
N  0.0000  0.6745  0.5000
Na  0.2273  0.0000  0.5000
Na  0.0000  0.2273  0.5000
Na  0.7727  0.7727  0.5000
Ni  0.6776  0.0000  0.0000
Ni  0.3224  0.3224  0.0000
Ni  0.0000  0.6776  0.0000

---

Computed, not measured: a geometry-optimized KNbNO structure at the PBE level of DFT.

Output
The energy above the most stable polymorph in this dataset comes out at 1051.0 meV per atom. As for the space-group type: No. 129. Its magnetization is 0.9 μB per formula unit. The energy is -6.28 eV per atom.

Lattice parameters (Å, degrees): 3.4274 3.4274 8.6090 90.00 90.00 90.00
Last column: magnetic moment on the atom in μB.
Fractional coordinates of all 8 atoms:
K  0.0000  0.0000  0.5000  0.05
K  0.5000  0.5000  0.5000  0.05
N  0.5000  0.0000  0.2567  -0.05
N  0.0000  0.5000  0.7433  -0.05
Nb  0.0000  0.5000  0.1468  0.72
Nb  0.5000  0.0000  0.8532  0.72
O  0.0000  0.0000  0.0000  0.00
O  0.5000  0.5000  0.0000  0.00

---

Computed, not measured: a geometry-optimized KNbNO structure at the PBE level of DFT.

Output
The energy above the most stable polymorph in this dataset comes out at 22.5 meV per atom. As for the space-group type: No. 26. Its magnetization is 0.1 μB per formula unit. The energy is -7.30 eV per atom.

Lattice parameters (Å, degrees): 3.4508 5.9365 7.0834 90.00 90.00 90.00
Fractional coordinates of all 8 atoms:
K  0.0000  0.4877  0.3607
K  0.0000  0.9877  0.6393
N  0.0000  0.9448  0.2495
N  0.0000  0.4448  0.7505
Nb  0.5000  0.9894  0.1186
Nb  0.5000  0.4894  0.8814
O  0.5000  0.3322  0.1249
O  0.5000  0.8322  0.8751

---

Computed, not measured: a geometry-optimized KNbNO structure at the PBE level of DFT.

Output
The energy above the most stable polymorph in this dataset comes out at 963.6 meV per atom. As for the space-group type: No. 129. Its magnetization is 0.1 μB per formula unit. The energy is -6.36 eV per atom.

Lattice parameters (Å, degrees): 4.0049 4.0049 10.4726 90.00 90.00 90.00
Fractional coordinates of all 8 atoms:
K  0.0000  0.5000  0.1494
K  0.5000  0.0000  0.8506
N  0.5000  0.0000  0.4405
N  0.0000  0.5000  0.5595
Nb  0.0000  0.0000  0.5000
Nb  0.5000  0.5000  0.5000
O  0.0000  0.0000  0.0000
O  0.5000  0.5000  0.0000

---

Computed, not measured: a geometry-optimized KNbNO structure at the PBE level of DFT.

Output
The energy above the most stable polymorph in this dataset comes out at 0.0 meV per atom. As for the space-group type: No. 26. Its magnetization is 0.4 μB per formula unit. The energy is -7.33 eV per atom.

Lattice parameters (Å, degrees): 3.6580 6.0550 6.8046 90.00 90.00 90.00
Fractional coordinates of all 8 atoms:
K  0.5000  0.9910  0.1622
K  0.5000  0.4910  0.8378
N  0.0000  0.8094  0.4172
N  0.0000  0.3094  0.5828
Nb  0.0000  0.4946  0.3564
Nb  0.0000  0.9946  0.6436
O  0.5000  0.4589  0.2327
O  0.5000  0.9589  0.7673

---

Computed, not measured: a geometry-optimized K2NbPN4 structure at the PBE level of DFT.

Output
As for the space-group type: No. 82. Its magnetization is 0.0 μB per formula unit. The energy is -7.07 eV per atom.

Lattice parameters (Å, degrees): 5.6604 5.6604 5.6604 120.38 120.38 89.34
Fractional coordinates of all 8 atoms:
K  0.0000  0.0000  0.0000
K  0.2500  0.7500  0.5000
N  0.6104  0.3033  0.1452
N  0.6967  0.8419  0.3071
N  0.5348  0.3896  0.6929
N  0.1581  0.4652  0.8548
Nb  0.7500  0.2500  0.5000
P  0.5000  0.5000  0.0000